Arrangement w

DFT (GGA-PBE) results for crystalline CaMgCr3 at its relaxed geometry.

Output
ρ in g cm⁻³: 2.752

Lattice parameters (Å, degrees): 5.1040 5.1040 5.1040 90.00 90.00 90.00
Fractional coordinates of all 5 atoms:
Cr 0.0000 0.5000 0.0000
Cr 0.0000 0.0000 0.5000
Cr 0.5000 0.0000 0.0000
Ca 0.5000 0.5000 0.5000
Mg 0.0000 0.0000 0.0000



Arrangement x

DFT (GGA-PBE) results for crystalline CaMgCr3 at its relaxed geometry.

Output
ρ in g cm⁻³: 2.993

Lattice parameters (Å, degrees): 4.9635 4.9635 4.9635 90.00 90.00 90.00
Fractional coordinates of all 5 atoms:
Cr 0.0000 0.5000 0.0000
Cr 0.0000 0.0000 0.5000
Cr 0.5000 0.0000 0.0000
Ca 0.0000 0.0000 0.0000
Mg 0.5000 0.5000 0.5000



Computed relative energies in units of meV per atom: arrangement w 0; arrangement x 617



Arrangement w

DFT (GGA-PBE) results for crystalline CaMg3Cr at its relaxed geometry.

Output
ρ in g cm⁻³: 1.938

Lattice parameters (Å, degrees): 5.2091 5.2091 5.2091 90.00 90.00 90.00
Fractional coordinates of all 5 atoms:
Cr 0.0000 0.0000 0.0000
Ca 0.5000 0.5000 0.5000
Mg 0.0000 0.5000 0.0000
Mg 0.0000 0.0000 0.5000
Mg 0.5000 0.0000 0.0000



Arrangement x

DFT (GGA-PBE) results for crystalline CaMg3Cr at its relaxed geometry.

Output
ρ in g cm⁻³: 1.590

Lattice parameters (Å, degrees): 5.5644 5.5644 5.5644 90.00 90.00 90.00
Fractional coordinates of all 5 atoms:
Cr 0.5000 0.5000 0.5000
Ca 0.0000 0.0000 0.0000
Mg 0.0000 0.5000 0.0000
Mg 0.0000 0.0000 0.5000
Mg 0.5000 0.0000 0.0000



Computed relative energies in units of meV per atom: arrangement w 0; arrangement x 1431



Arrangement w

DFT (GGA-PBE) results for crystalline Ca3MnCr at its relaxed geometry.

Output
ρ in g cm⁻³: 2.050

Lattice parameters (Å, degrees): 5.6883 5.6883 5.6883 90.00 90.00 90.00
Fractional coordinates of all 5 atoms:
Cr 0.0000 0.0000 0.0000
Ca 0.0000 0.5000 0.0000
Ca 0.0000 0.0000 0.5000
Ca 0.5000 0.0000 0.0000
Mn 0.5000 0.5000 0.5000



Arrangement x

DFT (GGA-PBE) results for crystalline Ca3MnCr at its relaxed geometry.

Output
ρ in g cm⁻³: 2.342

Lattice parameters (Å, degrees): 5.4409 5.4409 5.4409 90.00 90.00 90.00
Fractional coordinates of all 5 atoms:
Cr 0.5000 0.5000 0.5000
Ca 0.0000 0.5000 0.0000
Ca 0.0000 0.0000 0.5000
Ca 0.5000 0.0000 0.0000
Mn 0.0000 0.0000 0.0000



Computed relative energies in units of meV per atom: arrangement w 0; arrangement x 386